Material: SiMo2Cl
Method: DFT, PBE-GGA
State: optimized geometry

The value obtained for the energy relative to the elements, uncorrected is 0.058 eV per atom. As for the magnetization: 0.000 μB per formula unit. The value obtained for the calculated density is 5.6 Mg/m³.

The structure belongs to space group P4mm (No. 99); the cell edges are 3.1234, 3.1234 and 7.7833 Å and the angles 90.00°, 90.00° and 90.00°. Symmetry generates all atoms from Si at (0.0000, 0.0000, 0.0000), Mo at (0.0000, 0.0000, 0.6454), Mo at (0.5000, 0.5000, 0.8593) and Cl at (0.5000, 0.5000, 0.4290).



Material: YCoPb2
Method: DFT, PBE-GGA
State: optimized geometry

As for the magnetization: 0.969 μB per formula unit. The value obtained for the calculated density is 9.7 Mg/m³. As for the calculated formation energy: 0.0501 eV per atom.

The structure belongs to space group P2/m (No. 10); the cell edges are 3.7061, 4.4763 and 5.8904 Å and the angles 90.00°, 99.26° and 90.00°. Symmetry generates all atoms from Y at (0.0000, 0.0000, 0.0000), Co at (0.5000, 0.0000, 0.5000) and Pb at (0.3402, 0.5000, 0.7252).



Material: BaCr2H7
Method: DFT, PBE-GGA
State: optimized geometry

As for the magnetization: 6.583 μB per formula unit. The value obtained for the calculated density is 4.1 Mg/m³. The uncorrected energy is -4.5950 eV/atom.

The structure belongs to space group Cmmm (No. 65); the cell edges are 5.4445, 9.5746 and 3.8158 Å and the angles 90.00°, 90.00° and 90.00°. Symmetry generates all atoms from Ba at (0.0000, 0.0000, 0.0000), Cr at (0.0000, 0.3119, 0.5000), H at (0.0000, 0.3141, 0.0000), H at (0.0000, 0.5000, 0.5000) and H at (0.1820, 0.1554, 0.5000).



Material: YTaAu2
Method: DFT, PBE-GGA
State: optimized geometry

As for the magnetization: 0.000 μB per formula unit. The value obtained for the calculated density is 13.5 Mg/m³. As for the calculated formation energy: -0.2424 eV per atom.

The structure belongs to space group Pmmm (No. 47); the cell edges are 3.0628, 3.8613 and 6.9050 Å and the angles 90.00°, 90.00° and 90.00°. Symmetry generates all atoms from Y at (0.0000, 0.0000, 0.0000), Ta at (0.0000, 0.0000, 0.5000) and Au at (0.5000, 0.5000, 0.2844).



Material: SbP2PdS
Method: DFT, PBE-GGA
State: optimized geometry

The value obtained for the energy relative to the elements, uncorrected is 0.617 eV per atom. As for the magnetization: 0.129 μB per formula unit. The value obtained for the calculated density is 5.1 Mg/m³.

The structure belongs to space group P4/mmm (No. 123); the cell edges are 4.6727, 4.6727 and 4.7910 Å and the angles 90.00°, 90.00° and 90.00°. Symmetry generates all atoms from Sb at (0.0000, 0.0000, 0.0000), P at (0.0000, 0.5000, 0.5000), Pd at (0.5000, 0.5000, 0.5000) and S at (0.5000, 0.5000, 0.0000).



Material: CaErTm2
Method: DFT, PBE-GGA
State: optimized geometry

As for the magnetization: 0.000 μB per formula unit. The value obtained for the calculated density is 6.9 Mg/m³. As for the calculated formation energy: 0.0851 eV per atom.

The structure belongs to space group P4/mmm (No. 123); the cell edges are 3.5711, 3.5711 and 10.2750 Å and the angles 90.00°, 90.00° and 90.00°. Symmetry generates all atoms from Ca at (0.0000, 0.0000, 0.0000), Er at (0.0000, 0.0000, 0.5000) and Tm at (0.5000, 0.5000, 0.2719).



Material: CaTe2As
Method: DFT, PBE-GGA
State: optimized geometry

The value obtained for the energy relative to the elements, uncorrected is -0.698 eV per atom. As for the magnetization: 0.000 μB per formula unit. The value obtained for the calculated density is 5.4 Mg/m³.

The structure belongs to space group Amm2 (No. 38); the cell edges are 4.5870, 4.2295 and 11.7285 Å and the angles 90.00°, 90.00° and 90.00°. Symmetry generates all atoms from Ca at (0.0000, 0.0000, 0.0000), Te at (0.0000, 0.0000, 0.7120), Te at (0.5000, 0.0000, 0.4381) and As at (0.5000, 0.0000, 0.2133).



Material: Th2BiAs
Method: DFT, PBE-GGA
State: optimized geometry

As for the magnetization: 0.000 μB per formula unit. The value obtained for the calculated density is 10.1 Mg/m³. As for the calculated formation energy: -0.9696 eV per atom.

The structure belongs to space group R3m (No. 160, hexagonal axes); the cell edges are 4.3098, 4.3098 and 22.9462 Å and the angles 90.00°, 90.00° and 120.00°. Symmetry generates all atoms from Th at (0.0000, 0.0000, 0.0000), Th at (0.0000, 0.0000, 0.1900), Bi at (0.0000, 0.0000, 0.7620) and As at (0.0000, 0.0000, 0.5931).



Material: CdReC3
Method: DFT, PBE-GGA
State: optimized geometry

As for the magnetization: 0.000 μB per formula unit. The value obtained for the calculated density is 8.2 Mg/m³. As for the calculated formation energy: 1.7058 eV per atom.

The structure belongs to space group Pm-3m (No. 221); the cell edges are 4.0779, 4.0779 and 4.0779 Å and the angles 90.00°, 90.00° and 90.00°. Symmetry generates all atoms from Cd at (0.0000, 0.0000, 0.0000), Re at (0.5000, 0.5000, 0.5000) and C at (0.0000, 0.5000, 0.5000).



Material: FeRhSeBr2
Method: DFT, PBE-GGA
State: optimized geometry

The value obtained for the energy relative to the elements, uncorrected is 0.561 eV per atom. As for the magnetization: 3.729 μB per formula unit. The value obtained for the calculated density is 5.3 Mg/m³.

The structure belongs to space group P4/mmm (No. 123); the cell edges are 5.1013, 5.1013 and 4.8108 Å and the angles 90.00°, 90.00° and 90.00°. Symmetry generates all atoms from Fe at (0.0000, 0.0000, 0.0000), Rh at (0.5000, 0.5000, 0.5000), Se at (0.5000, 0.5000, 0.0000) and Br at (0.0000, 0.5000, 0.5000).



Material: Tb6AlCu5
Method: DFT, PBE-GGA
State: optimized geometry

As for the magnetization: 0.000 μB per formula unit. The value obtained for the calculated density is 8.3 Mg/m³. As for the calculated formation energy: -0.2548 eV per atom.

The structure belongs to space group P2/m (No. 10); the cell edges are 4.9377, 7.0743 and 7.8395 Å and the angles 90.00°, 108.35° and 90.00°. Symmetry generates all atoms from Tb at (0.0000, 0.2398, 0.0000), Tb at (0.3306, 0.2485, 0.6604), Al at (0.5000, 0.5000, 0.0000), Cu at (0.1535, 0.5000, 0.3085), Cu at (0.1664, 0.0000, 0.3355) and Cu at (0.5000, 0.0000, 0.0000).



Material: La2Sc
Method: DFT, PBE-GGA
State: optimized geometry

As for the magnetization: 0.000 μB per formula unit. The value obtained for the calculated density is 5.5 Mg/m³. As for the calculated formation energy: 0.0580 eV per atom.

The structure belongs to space group P-62m (No. 189); the cell edges are 9.7201, 9.7201 and 3.5733 Å and the angles 90.00°, 90.00° and 120.00°. Symmetry generates all atoms from La at (0.0000, 0.3053, 0.0000), La at (0.0000, 0.6411, 0.5000), Sc at (0.0000, 0.0000, 0.5000) and Sc at (0.3333, 0.6667, 0.0000).



| no. | DOS(E_F) (states/eV per atom) |
| --- | --- |
| 1 | 0.527 |
| 2 | 0.638 |
| 3 | 0.090 |
| 4 | 0.917 |
| 5 | 1.066 |
| 6 | 1.416 |
| 7 | 0.326 |
| 8 | 0.134 |
| 9 | 0.835 |
| 10 | 1.263 |
| 11 | 0.581 |
| 12 | 1.694 |